VASP calculation (PBE) on crystalline Gd2TmZn at its relaxed geometry.

Calculated values
The excess energy over the best structure of this formula in the dataset comes out at 158 meV per atom. The formation energy from the elements is 0.01 eV/atom. For the raw total energy, the calculation gives -8.47 eV per atom. The total moment is 59.5 Bohr magnetons per cell.

a b c (Å): 7.541 7.541 7.541
angles (deg): 90.00 90.00 90.00
Space group Fm-3m (No. 225)
One atom of each set of equivalent atoms:
Gd 0.250 0.250 0.250 [8 per cell]
Tm 0.000 0.000 0.000 [4 per cell]
Zn 0.000 0.000 0.500 [4 per cell]